# 1
Compound: SeBrCl
Source: Alexandria
Functional: PBE
Structure: relaxed

volume: 24.7 Å³ per atom
total magnetization: 0.45 μB per cell
electronic total energy: -1.76 eV/atom

a = 7.030 Å, b = 7.030 Å, c = 7.030 Å
α = 152.45°, β = 152.45°, γ = 39.36°
Site moments in Bohr magnetons follow the coordinates.
Positions (direct):
Cl: 0.299 0.299 0.000  0.04
Se: 0.667 0.667 0.000  0.23
Br: 0.034 0.034 0.000  0.04

# 2
Compound: SeBrCl2
Source: Alexandria
Functional: PBE
Structure: relaxed

volume: 26.3 Å³ per atom
total magnetization: 0.00 μB per cell
electronic total energy: -1.71 eV/atom

a = 3.110 Å, b = 3.110 Å, c = 10.882 Å
α = 90.00°, β = 90.00°, γ = 90.00°
Positions (direct):
Br: 0.500 0.500 0.750
Se: 0.500 0.500 0.250
Cl: 0.000 0.000 0.415
Cl: 0.000 0.000 0.085

# 3
Compound: SeBr2Cl8
Source: Alexandria
Functional: PBE
Structure: relaxed

volume: 33.7 Å³ per atom
total magnetization: 0.00 μB per cell
electronic total energy: -2.00 eV/atom

a = 7.049 Å, b = 9.168 Å, c = 10.671 Å
α = 125.59°, β = 119.58°, γ = 41.74°
Positions (direct):
Cl: 0.481 0.353 0.170
Cl: 0.978 0.766 0.969
Cl: 0.357 0.086 0.780
Cl: 0.057 0.161 0.414
Cl: 0.022 0.234 0.031
Cl: 0.643 0.914 0.220
Cl: 0.943 0.839 0.586
Cl: 0.519 0.647 0.830
Br: 0.209 0.607 0.395
Br: 0.791 0.393 0.605
Se: 0.500 0.000 0.000

The highest volume belongs to which entry? SeBr2Cl8

What did the third record say?
Compound: SeBr2Cl8
Source: Alexandria
Functional: PBE
Structure: relaxed

volume: 33.7 Å³ per atom
total magnetization: 0.00 μB per cell
electronic total energy: -2.00 eV/atom

a = 7.049 Å, b = 9.168 Å, c = 10.671 Å
α = 125.59°, β = 119.58°, γ = 41.74°
Positions (direct):
Cl: 0.481 0.353 0.170
Cl: 0.978 0.766 0.969
Cl: 0.357 0.086 0.780
Cl: 0.057 0.161 0.414
Cl: 0.022 0.234 0.031
Cl: 0.643 0.914 0.220
Cl: 0.943 0.839 0.586
Cl: 0.519 0.647 0.830
Br: 0.209 0.607 0.395
Br: 0.791 0.393 0.605
Se: 0.500 0.000 0.000

What is the formula in the first record? SeBrCl

The lowest electronic total energy belongs to which entry? SeBr2Cl8